Entry 1:
The following is a PBE-GGA calculation of an optimized crystal structure of Mg2CuAuN, from the Alexandria database.

## Properties
- Volume: 14.49 Å³ per atom
- Uncorrected formation energy: -359 meV/atom

Unit cell a=4.3013 b=4.3013 c=3.9156 alpha=90.00 beta=90.00 gamma=90.00
Last column: nearest neighbours and their distance in Å.
Positions (direct):
Mg (0.0000, 0.5000, 0.0000)  2 N 2.15
Mg (0.5000, 0.0000, 0.0000)  2 N 2.15
Cu (0.0000, 0.0000, 0.5000)  2 N 1.96
Au (0.5000, 0.5000, 0.5000)  8 Mg 2.91, 4 Cu 3.04
N (0.0000, 0.0000, 0.0000)  2 Cu 1.96, 4 Mg 2.15

Entry 2:
The following is a PBE-GGA calculation of an optimized crystal structure of NaMgCuAu, from the Alexandria database.

## Properties
- Volume: 17.67 Å³ per atom
- E_form: -120 meV/atom

Unit cell a=4.6413 b=4.6413 c=4.6413 alpha=60.00 beta=60.00 gamma=60.00
Last column: nearest neighbours and their distance in Å.
Positions (direct):
Na (0.0000, 0.0000, 0.0000)  4 Cu 2.84, 4 Mg 2.84
Mg (0.2500, 0.2500, 0.2500)  4 Au 2.84, 4 Na 2.84
Cu (0.7500, 0.7500, 0.7500)  4 Na 2.84, 4 Au 2.84
Au (0.5000, 0.5000, 0.5000)  4 Cu 2.84, 4 Mg 2.84

Entry 3:
The following is a PBE-GGA calculation of an optimized crystal structure of NdMg2CuAu4, from the Alexandria database.

## Properties
- Volume: 19.89 Å³ per atom
- E_form: -526 meV/atom

Unit cell a=9.2432 b=9.2432 c=9.2432 alpha=28.52 beta=28.52 gamma=28.52
Last column: nearest neighbours and their distance in Å.
Positions (direct):
Nd (0.0000, 0.0000, 0.0000)  8 Au 3.15-3.45
Mg (0.2353, 0.2353, 0.2353)  7 Au 2.76-2.81
Mg (0.7647, 0.7647, 0.7647)  7 Au 2.76-2.81
Cu (0.5000, 0.5000, 0.5000)  8 Au 2.70-2.81
Au (0.1297, 0.1297, 0.1297)  4 Mg 2.76-2.81, 3 Cu 2.81
Au (0.3984, 0.3984, 0.3984)  1 Cu 2.70, 3 Mg 2.77
Au (0.6016, 0.6016, 0.6016)  1 Cu 2.70, 3 Mg 2.77
Au (0.8703, 0.8703, 0.8703)  4 Mg 2.76-2.81, 3 Cu 2.81

Entry 4:
The following is a PBE-GGA calculation of an optimized crystal structure of MgCuAu2O6, from the Alexandria database.

## Properties
- Volume: 12.53 Å³ per atom
- Uncorrected formation energy: -517 meV/atom

Unit cell a=7.4164 b=7.4164 c=5.7151 alpha=108.58 beta=108.58 gamma=58.95
Last column: nearest neighbours and their distance in Å.
Positions (direct):
Mg (0.1190, 0.8810, 0.7500)  6 O 2.08-2.21
Mg (0.8810, 0.1190, 0.2500)  6 O 2.08-2.21
Cu (0.2821, 0.7179, 0.2500)  4 O 1.83-1.98
Cu (0.7179, 0.2821, 0.7500)  4 O 1.83-1.98
Au (0.0942, 0.4160, 0.7799)  4 O 2.01-2.05
Au (0.4160, 0.0942, 0.2799)  4 O 2.01-2.05
Au (0.5840, 0.9058, 0.7201)  4 O 2.01-2.05
Au (0.9058, 0.5840, 0.2201)  4 O 2.01-2.05
O (0.0136, 0.8054, 0.3542)  1 Cu 1.98, 1 Au 2.02, 2 Mg 2.14-2.21
O (0.1936, 0.3874, 0.4103)  2 Au 2.01-2.05
O (0.1946, 0.9864, 0.1458)  1 Cu 1.98, 1 Au 2.02, 2 Mg 2.14-2.21
O (0.2208, 0.6211, 0.9118)  1 Cu 1.83, 1 Au 2.01
O (0.3789, 0.7792, 0.5882)  1 Cu 1.83, 1 Au 2.01
O (0.3874, 0.1936, 0.9103)  2 Au 2.01-2.05
O (0.6126, 0.8064, 0.0897)  2 Au 2.01-2.05
O (0.6211, 0.2208, 0.4118)  1 Cu 1.83, 1 Au 2.01
O (0.7792, 0.3789, 0.0882)  1 Cu 1.83, 1 Au 2.01
O (0.8054, 0.0136, 0.8542)  1 Cu 1.98, 1 Au 2.02, 2 Mg 2.14-2.21
O (0.8064, 0.6126, 0.5897)  2 Au 2.01-2.05
O (0.9864, 0.1946, 0.6458)  1 Cu 1.98, 1 Au 2.02, 2 Mg 2.14-2.21

Entry 5:
The following is a PBE-GGA calculation of an optimized crystal structure of MgPaCuAu, from the Alexandria database.

## Properties
- Volume: 20.10 Å³ per atom
- E_form: -203 meV/atom

Unit cell a=4.8443 b=4.8443 c=4.8443 alpha=60.00 beta=60.00 gamma=60.00
Last column: nearest neighbours and their distance in Å.
Positions (direct):
Mg (0.0000, 0.0000, 0.0000)  4 Cu 2.97, 4 Au 2.97
Pa (0.5000, 0.5000, 0.5000)  4 Au 2.97, 4 Cu 2.97
Cu (0.2500, 0.2500, 0.2500)  4 Pa 2.97, 4 Mg 2.97
Au (0.7500, 0.7500, 0.7500)  4 Pa 2.97, 4 Mg 2.97

Entry 6:
The following is a PBE-GGA calculation of an optimized crystal structure of MgCu2Pd5Au, from the Alexandria database.

## Properties
- Volume: 16.19 Å³ per atom
- E_form: -41 meV/atom

Unit cell a=8.8732 b=8.8732 c=8.8732 alpha=139.54 beta=139.54 gamma=58.55
Last column: nearest neighbours and their distance in Å.
Positions (direct):
Mg (0.2500, 0.2500, 0.0000)  8 Pd 2.87, 4 Au 3.07
Mg (0.7500, 0.7500, 0.0000)  8 Pd 2.87, 4 Au 3.07
Cu (0.1242, 0.6242, 0.7484)  1 Cu 2.16
Cu (0.3758, 0.1242, 0.5000)  1 Cu 2.16
Cu (0.6242, 0.8758, 0.5000)  1 Cu 2.16
Cu (0.8758, 0.3758, 0.2516)  1 Cu 2.16
Pd (0.0000, 0.0000, 0.0000)  4 Cu 2.43
Pd (0.0875, 0.1524, 0.5000)  1 Cu 2.44, 1 Au 2.65
Pd (0.1524, 0.6524, 0.0649)  1 Cu 2.44, 1 Au 2.65
Pd (0.3476, 0.4125, 0.5000)  1 Cu 2.44, 1 Au 2.65
Pd (0.4125, 0.9125, 0.0649)  1 Cu 2.44, 1 Au 2.65
Pd (0.5000, 0.5000, 0.0000)  4 Cu 2.43
Pd (0.5875, 0.0875, 0.9351)  1 Cu 2.44, 1 Au 2.65
Pd (0.6524, 0.5875, 0.5000)  1 Cu 2.44, 1 Au 2.65
Pd (0.8476, 0.3476, 0.9351)  1 Cu 2.44, 1 Au 2.65
Pd (0.9125, 0.8476, 0.5000)  1 Cu 2.44, 1 Au 2.65
Au (0.2500, 0.7500, 0.5000)  4 Pd 2.65
Au (0.7500, 0.2500, 0.5000)  4 Pd 2.65

Entry 7:
The following is a PBE-GGA calculation of an optimized crystal structure of MgCuPdAu, from the Alexandria database.

## Properties
- Volume: 15.44 Å³ per atom
- E_form: -456 meV/atom

Unit cell a=3.7890 b=3.9673 c=4.1087 alpha=90.00 beta=90.00 gamma=90.00
Last column: nearest neighbours and their distance in Å.
Positions (direct):
Mg (0.0000, 0.0000, 0.0000)  4 Pd 2.74, 4 Au 2.79, 4 Cu 2.86
Cu (0.0000, 0.5000, 0.5000)  4 Au 2.74, 4 Pd 2.79, 4 Mg 2.86
Pd (0.5000, 0.5000, 0.0000)  4 Mg 2.74, 4 Cu 2.79, 4 Au 2.86
Au (0.5000, 0.0000, 0.5000)  4 Cu 2.74, 4 Mg 2.79, 4 Pd 2.86

Entry 8:
The following is a PBE-GGA calculation of an optimized crystal structure of PmMg2CuAu4, from the Alexandria database.

## Properties
- Volume: 19.72 Å³ per atom
- E_form: -528 meV/atom

Unit cell a=9.0239 b=9.0239 c=9.0239 alpha=29.50 beta=29.50 gamma=29.50
Last column: nearest neighbours and their distance in Å.
Positions (direct):
Pm (0.0000, 0.0000, 0.0000)  8 Au 3.12-3.30
Mg (0.2364, 0.2364, 0.2364)  7 Au 2.77-2.82
Mg (0.7636, 0.7636, 0.7636)  7 Au 2.77-2.82
Cu (0.5000, 0.5000, 0.5000)  8 Au 2.66-2.84
Au (0.1276, 0.1276, 0.1276)  4 Mg 2.77-2.82, 3 Cu 2.84
Au (0.3970, 0.3970, 0.3970)  1 Cu 2.66, 3 Mg 2.79
Au (0.6030, 0.6030, 0.6030)  1 Cu 2.66, 3 Mg 2.79
Au (0.8724, 0.8724, 0.8724)  4 Mg 2.77-2.82, 3 Cu 2.84

Entry 9:
The following is a PBE-GGA calculation of an optimized crystal structure of PrMgCuAu, from the Alexandria database.

## Properties
- Volume: 21.54 Å³ per atom
- E_form: -433 meV/atom

Unit cell a=4.9575 b=4.9575 c=4.9575 alpha=60.00 beta=60.00 gamma=60.00
Last column: nearest neighbours and their distance in Å.
Positions (direct):
Pr (0.0000, 0.0000, 0.0000)  4 Cu 3.04, 4 Au 3.04
Mg (0.5000, 0.5000, 0.5000)  4 Cu 3.04, 4 Au 3.04
Cu (0.7500, 0.7500, 0.7500)  4 Mg 3.04, 4 Pr 3.04
Au (0.2500, 0.2500, 0.2500)  4 Mg 3.04, 4 Pr 3.04

Entry 10:
The following is a PBE-GGA calculation of an optimized crystal structure of MgCuPtAu, from the Alexandria database.

## Properties
- Volume: 15.41 Å³ per atom
- Relative energy among the computed polymorphs: 0.000 eV per atom
- E_form: -478 meV/atom

Unit cell a=3.7896 b=4.0092 c=4.0564 alpha=90.00 beta=90.00 gamma=90.00
Last column: nearest neighbours and their distance in Å.
Positions (direct):
Mg (0.0000, 0.0000, 0.0000)  4 Pt 2.76, 4 Au 2.78, 4 Cu 2.85
Cu (0.0000, 0.5000, 0.5000)  4 Au 2.76, 4 Pt 2.78, 4 Mg 2.85
Pt (0.5000, 0.5000, 0.0000)  4 Mg 2.76, 4 Cu 2.78, 4 Au 2.85
Au (0.5000, 0.0000, 0.5000)  4 Cu 2.76, 4 Mg 2.78, 4 Pt 2.85

Entry 11:
The following is a PBE-GGA calculation of an optimized crystal structure of MgCuPtAu, from the Alexandria database.

## Properties
- Volume: 15.59 Å³ per atom
- Relative energy among the computed polymorphs: 0.068 eV per atom
- E_form: -410 meV/atom

Unit cell a=4.4510 b=4.4510 c=4.4510 alpha=60.00 beta=60.00 gamma=60.00
Last column: nearest neighbours and their distance in Å.
Positions (direct):
Mg (0.0000, 0.0000, 0.0000)  4 Pt 2.73, 4 Au 2.73
Cu (0.5000, 0.5000, 0.5000)  4 Pt 2.73, 4 Au 2.73
Pt (0.7500, 0.7500, 0.7500)  4 Cu 2.73, 4 Mg 2.73
Au (0.2500, 0.2500, 0.2500)  4 Cu 2.73, 4 Mg 2.73

Entry 12:
The following is a PBE-GGA calculation of an optimized crystal structure of PuMg2CuAu4, from the Alexandria database.

## Properties
- Volume: 19.65 Å³ per atom
- E_form: -382 meV/atom

Unit cell a=9.0082 b=9.0082 c=9.0082 alpha=29.53 beta=29.53 gamma=29.53
Last column: nearest neighbours and their distance in Å.
Positions (direct):
Pu (0.0000, 0.0000, 0.0000)  8 Au 3.11-3.31
Mg (0.2368, 0.2368, 0.2368)  7 Au 2.77-2.81
Mg (0.7632, 0.7632, 0.7632)  7 Au 2.77-2.81
Cu (0.5000, 0.5000, 0.5000)  8 Au 2.67-2.83
Au (0.1282, 0.1282, 0.1282)  4 Mg 2.77-2.81, 3 Cu 2.83
Au (0.3965, 0.3965, 0.3965)  1 Cu 2.67, 3 Mg 2.79
Au (0.6035, 0.6035, 0.6035)  1 Cu 2.67, 3 Mg 2.79
Au (0.8718, 0.8718, 0.8718)  4 Mg 2.77-2.81, 3 Cu 2.83

no.,total magnetization (μB per formula unit)
1,0.0
2,0.0
3,0.0
4,0.0
5,0.0
6,0.0
7,0.0
8,0.0
9,0.0
10,0.0
11,0.0
12,5.6